# 1
Crystalline LaHfSN2 at its relaxed geometry. Source: Alexandria via LeMat-Bulk, functional PBE.

Calculated values
N(E_F) (states/eV/atom): 0.53
Raw formation energy (kJ/mol of formula units): -537
Offset from the most stable computed form (eV per atom): 0.000
Spin magnetization (μB/cell): 0.0

a = 4.2074 Å, b = 4.2074 Å, c = 4.9807 Å
α = 90.00°, β = 90.00°, γ = 90.00°
Space group P4/mmm (No. 123)
Symmetry-distinct sites (fractional):
La 0.0000 0.0000 0.0000 x1
Hf 0.5000 0.5000 0.5000 x1
S 0.5000 0.5000 0.0000 x1
N 0.0000 0.5000 0.5000 x2

# 2
Crystalline CeYZn2 at its relaxed geometry. Source: Alexandria via LeMat-Bulk, functional PBE.

Calculated values
ΔH_f (0 K) (meV/atom): -261
N(E_F) (states/eV/atom): 1.98
Offset from the most stable computed form (eV per atom): 0.000
Spin magnetization (μB/cell): 0.8

a = 3.5455 Å, b = 3.5455 Å, c = 7.4169 Å
α = 90.00°, β = 90.00°, γ = 90.00°
Space group P4/mmm (No. 123)
Symmetry-distinct sites (fractional):
Ce 0.0000 0.0000 0.0000 x1
Y 0.0000 0.0000 0.5000 x1
Zn 0.5000 0.5000 0.2623 x2

# 3
Crystalline Nb2Al2Ga at its relaxed geometry. Source: Alexandria via LeMat-Bulk, functional PBE.

Calculated values
ΔH_f (0 K) (meV/atom): -103
N(E_F) (states/eV/atom): 0.58
Offset from the most stable computed form (eV per atom): 0.189
Spin magnetization (μB/cell): 0.0

a = 6.8302 Å, b = 6.8302 Å, c = 3.9089 Å
α = 90.00°, β = 90.00°, γ = 90.00°
Space group P4/mbm (No. 127)
Symmetry-distinct sites (fractional):
Nb 0.1468 0.3532 0.0000 x4
Al 0.1516 0.6516 0.5000 x4
Ga 0.0000 0.0000 0.0000 x2

# 4
Crystalline Pd4RuPt15 at its relaxed geometry. Source: Alexandria via LeMat-Bulk, functional PBE.

Calculated values
ΔH_f (0 K) (meV/atom): -20
N(E_F) (states/eV/atom): 2.33
Spin magnetization (μB/cell): 0.1

a = 3.9473 Å, b = 3.9473 Å, c = 19.8807 Å
α = 90.00°, β = 90.00°, γ = 90.00°
Space group P4/mmm (No. 123)
Symmetry-distinct sites (fractional):
Pd 0.0000 0.0000 0.1002 x2
Pd 0.0000 0.0000 0.3025 x2
Ru 0.0000 0.0000 0.5000 x1
Pt 0.0000 0.5000 0.0000 x2
Pt 0.0000 0.5000 0.2008 x4
Pt 0.0000 0.5000 0.4029 x4
Pt 0.5000 0.5000 0.1005 x2
Pt 0.5000 0.5000 0.3010 x2
Pt 0.5000 0.5000 0.5000 x1

# 5
Crystalline TaRe at its relaxed geometry. Source: Alexandria via LeMat-Bulk, functional PBE.

Calculated values
ΔH_f (0 K) (meV/atom): 24
N(E_F) (states/eV/atom): 0.91
Spin magnetization (μB/cell): 0.0

a = 3.8056 Å, b = 3.8056 Å, c = 9.2797 Å
α = 90.00°, β = 90.00°, γ = 90.00°
Space group I4_1/amd (No. 141, origin choice 2)
Symmetry-distinct sites (fractional):
Ta 0.0000 0.2500 0.3750 x4
Re 0.0000 0.2500 0.8750 x4

# 6
Crystalline SrSn2Au2 at its relaxed geometry. Source: Alexandria via LeMat-Bulk, functional PBE.

Calculated values
ΔH_f (0 K) (meV/atom): -345
N(E_F) (states/eV/atom): 0.74
Spin magnetization (μB/cell): 0.0

a = 8.1038 Å, b = 8.1038 Å, c = 3.8604 Å
α = 90.00°, β = 90.00°, γ = 90.00°
Space group P4/mbm (No. 127)
Symmetry-distinct sites (fractional):
Sr 0.0000 0.0000 0.0000 x2
Sn 0.1709 0.3291 0.5000 x4
Au 0.1274 0.6274 0.0000 x4

# 7
Crystalline CaCo2Ni at its relaxed geometry. Source: Alexandria via LeMat-Bulk, functional PBE.

Calculated values
ΔH_f (0 K) (meV/atom): 371
N(E_F) (states/eV/atom): 1.16
Spin magnetization (μB/cell): 6.7

a = 2.7470 Å, b = 4.4786 Å, c = 9.4598 Å
α = 90.00°, β = 90.00°, γ = 90.00°
Space group Immm (No. 71)
Symmetry-distinct sites (fractional):
Ca 0.0000 0.0000 0.0000 x2
Co 0.0000 0.5000 0.2188 x4
Ni 0.0000 0.0000 0.5000 x2

# 8
Crystalline ZrSnTe2 at its relaxed geometry. Source: Alexandria via LeMat-Bulk, functional PBE.

Calculated values
N(E_F) (states/eV/atom): 0.82
Raw formation energy (kJ/mol of formula units): 73
Spin magnetization (μB/cell): 0.0

a = 4.0976 Å, b = 4.0976 Å, c = 28.1450 Å
α = 90.00°, β = 90.00°, γ = 120.00°
Space group R-3m (No. 166, hexagonal axes)
Symmetry-distinct sites (fractional):
Zr 0.0000 0.0000 0.0000 x3
Sn 0.0000 0.0000 0.5000 x3
Te 0.0000 0.0000 0.0980 x6